# Cr2FeW

A geometry-optimized Cr2FeW structure (PBE-GGA, Alexandria via LeMat-Bulk).

Cell lengths 4.166, 4.166, 4.166 Å; angles 60.00, 60.00, 60.00 degrees
Last column: magnetic moment on the atom in μB.
Atoms (fractional coordinates):
1 Cr 0.750 0.750 0.750  -0.15
2 Cr 0.250 0.250 0.250  -0.15
3 Fe 0.000 0.000 0.000  2.22
4 W 0.500 0.500 0.500  0.12

=====

# Cr2FeW

A geometry-optimized Cr2FeW structure (PBE-GGA, Alexandria via LeMat-Bulk).

Cell lengths 2.990, 2.990, 5.736 Å; angles 90.00, 90.00, 90.00 degrees
Last column: magnetic moment on the atom in μB.
Atoms (fractional coordinates):
1 Fe 0.500 0.500 0.250  2.17
2 Cr 0.000 0.000 0.489  -0.01
3 Cr 0.000 0.000 0.011  -0.01
4 W 0.500 0.500 0.750  0.04

=====

# Cr2FeW

A geometry-optimized Cr2FeW structure (PBE-GGA, Alexandria via LeMat-Bulk).

Cell lengths 6.619, 6.619, 5.275 Å; angles 51.14, 51.14, 90.00 degrees
Atoms (fractional coordinates):
1 Fe 0.500 0.500 0.000
2 Fe 0.250 0.750 0.500
3 W 0.000 0.000 0.000
4 W 0.750 0.250 0.500
5 Cr 0.375 0.403 0.750
6 Cr 0.597 0.125 0.250
7 Cr 0.875 0.847 0.750
8 Cr 0.153 0.625 0.250

=====

The total magnetization results, record by record, are as follows: 0.5040 0.5424 0.0000 μB per atom.
The distance to the lowest polymorph of the same formula results, record by record, are as follows: 0.0371 0.0264 0.6432 eV/atom.
The E results, record by record, are as follows: -0.7355 -0.7362 -0.6909 Ry per atom.